# Sm2Y5HoTm | Alexandria via LeMat-Bulk | PBE | optimized geometry
# M_tot   0.00 μB/atom
# Uncorrected energy   -5.37 eV/atom
data_Sm2Y5HoTm
_chemical_formula_sum 'Sm8 Y20 Ho4 Tm4'
_cell_length_a 8.596
_cell_length_b 8.596
_cell_length_c 15.748
_cell_angle_alpha 90.00
_cell_angle_beta 90.00
_cell_angle_gamma 90.00
_space_group_name_H-M_alt 'I 4/m c m'
_space_group_IT_number 140
_space_group_name_Hall '-I 4 2c'
loop_
_atom_site_label
_atom_site_type_symbol
_atom_site_fract_x
_atom_site_fract_y
_atom_site_fract_z
Sm1 Sm 0.118 0.382 0.000
Y1 Y 0.000 0.000 0.000
Y2 Y 0.211 0.289 0.360
Ho1 Ho 0.000 0.500 0.250
Tm1 Tm 0.000 0.000 0.250

# La3SbPd | Alexandria via LeMat-Bulk | PBE | optimized geometry
# M_tot   0.00 μB/atom
# Uncorrected energy   -5.30 eV/atom
data_La3SbPd
_chemical_formula_sum 'La3 Sb1 Pd1'
_cell_length_a 5.609
_cell_length_b 5.609
_cell_length_c 5.609
_cell_angle_alpha 90.00
_cell_angle_beta 90.00
_cell_angle_gamma 90.00
_space_group_name_H-M_alt 'P m -3 m'
_space_group_IT_number 221
_space_group_name_Hall '-P 4 2 3'
loop_
_atom_site_label
_atom_site_type_symbol
_atom_site_fract_x
_atom_site_fract_y
_atom_site_fract_z
La1 La 0.000 0.000 0.500
Sb1 Sb 0.500 0.500 0.500
Pd1 Pd 0.000 0.000 0.000

# TaCdP | Alexandria via LeMat-Bulk | PBE | optimized geometry
# M_tot   0.11 μB/atom
# Uncorrected energy   -5.43 eV/atom
data_TaCdP
_chemical_formula_sum 'Ta4 Cd4 P4'
_cell_length_a 6.273
_cell_length_b 6.273
_cell_length_c 6.273
_cell_angle_alpha 90.00
_cell_angle_beta 90.00
_cell_angle_gamma 90.00
_space_group_name_H-M_alt 'F -4 3 m'
_space_group_IT_number 216
_space_group_name_Hall 'F -4 2 3'
loop_
_atom_site_label
_atom_site_type_symbol
_atom_site_fract_x
_atom_site_fract_y
_atom_site_fract_z
Ta1 Ta 0.000 0.000 0.000
Cd1 Cd 0.250 0.250 0.250
P1 P 0.250 0.250 0.750

# Hg4H | Alexandria via LeMat-Bulk | PBE | optimized geometry
# M_tot   0.00 μB/atom
# Uncorrected energy   -0.59 eV/atom
data_Hg4H
_chemical_formula_sum 'Hg4 H1'
_cell_length_a 4.838
_cell_length_b 4.838
_cell_length_c 4.838
_cell_angle_alpha 90.00
_cell_angle_beta 90.00
_cell_angle_gamma 90.00
_space_group_name_H-M_alt 'P m -3 m'
_space_group_IT_number 221
_space_group_name_Hall '-P 4 2 3'
loop_
_atom_site_label
_atom_site_type_symbol
_atom_site_fract_x
_atom_site_fract_y
_atom_site_fract_z
Hg1 Hg 0.000 0.000 0.000
Hg2 Hg 0.000 0.500 0.500
H1 H 0.500 0.500 0.500

# DyY3Th2Bi6 | Alexandria via LeMat-Bulk | PBE | optimized geometry
# M_tot   0.00 μB/atom
# Uncorrected energy   -5.96 eV/atom
data_DyY3Th2Bi6
_chemical_formula_sum 'Dy2 Y6 Th4 Bi12'
_cell_length_a 19.695
_cell_length_b 4.532
_cell_length_c 9.031
_cell_angle_alpha 90.00
_cell_angle_beta 103.13
_cell_angle_gamma 90.00
_space_group_name_H-M_alt 'C 1 2/m 1'
_space_group_IT_number 12
loop_
_space_group_symop_operation_xyz
'x,y,z'
'-x,-y,-z'
'-x,y,-z'
'x,-y,z'
'x+1/2,y+1/2,z'
'-x+1/2,-y+1/2,-z'
'-x+1/2,y+1/2,-z'
'x+1/2,-y+1/2,z'
loop_
_atom_site_label
_atom_site_type_symbol
_atom_site_fract_x
_atom_site_fract_y
_atom_site_fract_z
Dy1 Dy 0.000 0.000 0.000
Y1 Y 0.000 0.000 0.500
Y2 Y 0.167 0.500 0.834
Th1 Th 0.165 0.500 0.331
Bi1 Bi 0.003 0.500 0.752
Bi2 Bi 0.165 0.000 0.588
Bi3 Bi 0.166 0.000 0.077

# ErMg2B6 | Alexandria via LeMat-Bulk | PBE | optimized geometry
# M_tot   0.00 μB/atom
# Uncorrected energy   -5.61 eV/atom
data_ErMg2B6
_chemical_formula_sum 'Er1 Mg2 B6'
_cell_length_a 5.4395
_cell_length_b 5.4395
_cell_length_c 3.6517
_cell_angle_alpha 90.00
_cell_angle_beta 90.00
_cell_angle_gamma 120.00
_space_group_name_H-M_alt 'P 6/m m m'
_space_group_IT_number 191
_space_group_name_Hall '-P 6 2'
loop_
_atom_site_label
_atom_site_type_symbol
_atom_site_fract_x
_atom_site_fract_y
_atom_site_fract_z
Er1 Er 0.0000 0.0000 0.0000
Mg1 Mg 0.3333 0.6667 0.0000
B1 B 0.0000 0.3376 0.5000

# Pm4Bi3Te | Alexandria via LeMat-Bulk | PBE | optimized geometry
# M_tot   0.00 μB/atom
# Uncorrected energy   -5.31 eV/atom
data_Pm4Bi3Te
_chemical_formula_sum 'Pm8 Bi6 Te2'
_cell_length_a 9.095
_cell_length_b 12.866
_cell_length_c 4.560
_cell_angle_alpha 90.00
_cell_angle_beta 90.00
_cell_angle_gamma 90.00
_space_group_name_H-M_alt 'C m m m'
_space_group_IT_number 65
_space_group_name_Hall '-C 2 2'
loop_
_atom_site_label
_atom_site_type_symbol
_atom_site_fract_x
_atom_site_fract_y
_atom_site_fract_z
Pm1 Pm 0.000 0.249 0.000
Pm2 Pm 0.248 0.000 0.500
Bi1 Bi 0.000 0.000 0.000
Bi2 Bi 0.250 0.250 0.500
Te1 Te 0.000 0.500 0.000

# Fe2PRu | Alexandria via LeMat-Bulk | PBE | optimized geometry
# M_tot   0.93 μB/atom
# Uncorrected energy   -7.89 eV/atom
data_Fe2PRu
_chemical_formula_sum 'Fe6 P3 Ru3'
_cell_length_a 2.7409
_cell_length_b 2.7409
_cell_length_c 22.7147
_cell_angle_alpha 90.00
_cell_angle_beta 90.00
_cell_angle_gamma 120.00
_space_group_name_H-M_alt 'R 3 m'
_space_group_IT_number 160
_space_group_name_Hall 'R 3 -2"'
loop_
_atom_site_label
_atom_site_type_symbol
_atom_site_fract_x
_atom_site_fract_y
_atom_site_fract_z
Fe1 Fe 0.0000 0.0000 0.0000
Fe2 Fe 0.0000 0.0000 0.2477
P1 P 0.0000 0.0000 0.7399
Ru1 Ru 0.0000 0.0000 0.4866